No. 1
AcHo5Hg4 | PBE-GGA | optimized geometry

Cell lengths 3.722, 3.722, 20.055 Å; angles 90.00, 90.00, 90.00 degrees
Fractional positions:
Ho 0.500 0.500 0.866
Hg 0.000 0.000 0.777
Hg 0.000 0.000 0.407
Hg 0.000 0.000 0.593
Ho 0.500 0.500 0.683
Ho 0.500 0.500 0.134
Hg 0.000 0.000 0.223
Ho 0.500 0.500 0.317
Ho 0.500 0.500 0.500
Ac 0.000 0.000 0.000

Its volume is 27.79 A^3/atom. As for the energy of formation from the pure elements: -3.705 eV per formula unit. The calculation puts the final energy at -0.2345 Ry/atom.

=====

No. 2
AcHoHg2 | PBE-GGA | optimized geometry

Cell lengths 3.999, 3.999, 9.500 Å; angles 77.85, 77.85, 60.00 degrees
Fractional positions:
Hg 0.091 0.091 0.727
Ac 0.667 0.667 0.999
Hg 0.242 0.242 0.274
Ho 0.500 0.500 0.500

Its volume is 31.91 A^3/atom. As for the energy of formation from the pure elements: -1.217 eV per formula unit. The calculation puts the final energy at -0.1931 Ry/atom.

=====

No. 3
Ac5HoHg4 | PBE-GGA | optimized geometry

Cell lengths 4.019, 4.019, 21.243 Å; angles 90.00, 90.00, 90.00 degrees
Site moments in Bohr magnetons follow the coordinates.
Fractional positions:
Ac 0.500 0.500 0.308  0.08
Hg 0.000 0.000 0.595  0.01
Ac 0.500 0.500 0.500  0.09
Ac 0.500 0.500 0.692  0.08
Hg 0.000 0.000 0.405  0.01
Ac 0.500 0.500 0.116  0.01
Hg 0.000 0.000 0.791  0.01
Ac 0.500 0.500 0.884  0.01
Ho 0.000 0.000 0.000  -0.01
Hg 0.000 0.000 0.209  0.01

Its volume is 34.32 A^3/atom. As for the energy of formation from the pure elements: -3.565 eV per formula unit. The calculation puts the final energy at -0.2197 Ry/atom.

=====

No. 4
Ac4HoHg5 | PBE-GGA | optimized geometry

Cell lengths 3.954, 3.954, 20.138 Å; angles 90.00, 90.00, 90.00 degrees
Site moments in Bohr magnetons follow the coordinates.
Fractional positions:
Hg 0.500 0.500 0.918  0.01
Hg 0.500 0.500 0.294  0.01
Hg 0.500 0.500 0.500  0.01
Ac 0.000 0.000 0.189  0.10
Ho 0.000 0.000 0.000  0.11
Ac 0.000 0.000 0.811  0.10
Ac 0.000 0.000 0.397  0.07
Hg 0.500 0.500 0.706  0.01
Ac 0.000 0.000 0.603  0.07
Hg 0.500 0.500 0.082  0.01

Its volume is 31.48 A^3/atom. As for the energy of formation from the pure elements: -4.590 eV per formula unit. The calculation puts the final energy at -0.1993 Ry/atom.

=====

No. 5
Ac2HoHg8 | PBE-GGA | optimized geometry

Cell lengths 5.368, 8.000, 8.663 Å; angles 117.50, 108.05, 90.00 degrees
Fractional positions:
Hg 0.000 0.714 0.000
Ac 0.208 0.708 0.416
Hg 0.000 0.286 0.000
Hg 0.373 0.176 0.745
Ho 0.500 0.000 0.000
Hg 0.856 0.856 0.713
Ac 0.792 0.292 0.584
Hg 0.627 0.431 0.255
Hg 0.627 0.824 0.255
Hg 0.144 0.144 0.287
Hg 0.373 0.569 0.745

Its volume is 28.11 A^3/atom. As for the energy of formation from the pure elements: -3.802 eV per formula unit. The calculation puts the final energy at -0.1270 Ry/atom.

=====

No. 6
AcHo2Hg | PBE-GGA | optimized geometry

Cell lengths 5.555, 5.555, 5.555 Å; angles 60.00, 60.00, 60.00 degrees
Fractional positions:
Ac 0.000 0.000 0.000
Hg 0.500 0.500 0.500
Ho 0.250 0.250 0.250
Ho 0.750 0.750 0.750

The energy above the lowest structure with this stoichiometry is 1.07 eV per formula unit. Its volume is 30.30 A^3/atom. As for the energy of formation from the pure elements: 0.268 eV per formula unit. The calculation puts the final energy at -0.2443 Ry/atom.

=====

Q: Among the records above, which one has the highest energy of formation from the pure elements?
A: AcHo2Hg

=====

Q: Which of these has the highest final energy?
A: Ac2HoHg8

=====

Q: Which of these has the lowest energy of formation from the pure elements?
A: Ac4HoHg5